Entry from Alexandria via LeMat-Bulk: an optimized crystal structure of RbInGe (PBE-GGA).

Output
The value obtained for the formation energy is -0.02 eV/atom. Its space group is P4_122.

```
RbInGe
1.0
-7.740 2.420 -1.436
-2.756 -7.369 2.433
-0.507 2.461 6.880
Ge In Rb
4 4 4
Cartesian
-4.090 -2.261 2.457
-5.705 -3.698 0.902
-5.044 -0.021 3.535
-6.912 -0.227 5.420
-7.112 -2.341 3.237
-6.106 -0.606 0.741
-4.018 0.468 6.359
-4.770 -2.498 5.416
-1.212 -1.332 4.286
-1.798 -4.807 1.587
-5.429 3.425 4.223
-2.818 1.457 1.220
```

---

Entry from Alexandria via LeMat-Bulk: an optimized crystal structure of TiRuI2 (PBE-GGA).

Output
Its offset from the most stable computed form is 0.065 eV/atom. The formation energy from raw total energies is 0.5933 eV per atom. Its space group is I-42d.

```
TiRuI2
1.0
-0.075 -5.341 3.044
5.920 -0.884 -1.406
4.535 -0.282 5.826
Ti I Ru
2 4 2
Cartesian
6.689 -2.139 2.619
2.923 -3.113 0.819
1.826 -3.591 3.224
8.595 -5.671 5.784
4.825 -1.219 0.917
5.514 -2.534 5.003
3.691 -4.368 4.845
0.000 0.000 0.000
```

---

Entry from Alexandria via LeMat-Bulk: an optimized crystal structure of Be2AlInI (PBE-GGA).

Output
The formation energy from raw total energies is 0.6426 eV per atom. Its space group is P4/mmm.

```
Be2AlInI
1.0
4.670 0.000 0.000
0.000 5.759 0.000
0.000 0.000 4.670
In Be I Al
1 2 1 1
Cartesian
0.000 2.879 0.000
2.335 0.000 0.000
0.000 0.000 2.335
2.335 2.879 2.335
0.000 0.000 0.000
```

---

Entry from Alexandria via LeMat-Bulk: an optimized crystal structure of Tm2Pa2S7 (PBE-GGA).

Output
Its offset from the most stable computed form is 0.014 eV/atom. The formation energy from raw total energies is -1.6782 eV per atom. Its space group is Fd-3m.

```
Tm2Pa2S7
1.0
-0.364 -0.635 9.068
7.370 -2.560 4.680
4.433 6.037 5.164
Pa S Tm
4 14 4
Cartesian
4.932 -1.242 9.239
7.331 2.094 7.287
7.149 1.777 11.821
3.464 3.057 9.480
6.399 -1.020 11.726
4.846 3.526 11.982
2.253 2.886 2.706
8.936 2.509 9.662
3.466 -1.465 6.751
-0.007 -0.258 4.545
2.082 2.587 6.979
3.637 -1.165 2.478
5.039 3.862 7.187
2.502 0.334 9.251
5.719 1.421 9.457
6.592 -0.684 6.931
5.726 1.680 4.911
8.579 2.132 14.185
1.430 0.355 2.364
5.115 -0.925 4.704
3.646 3.374 4.946
1.248 0.038 6.898
```

---

Entry from Alexandria via LeMat-Bulk: an optimized crystal structure of Zr2Ta (PBE-GGA).

Output
The value obtained for the formation energy is 0.15 eV/atom. Its space group is Cmcm.

```
Zr2Ta
1.0
1.802 -7.519 0.000
1.802 7.519 0.000
0.000 0.000 4.743
Ta Zr
2 4
Cartesian
1.802 6.001 1.186
1.802 -6.001 3.557
1.802 -3.962 1.186
1.802 -1.020 3.557
1.802 3.962 3.557
1.802 1.020 1.186
```

---

Entry from Alexandria via LeMat-Bulk: an optimized crystal structure of CaIn2Pt (PBE-GGA).

Output
The value obtained for the formation energy is -0.31 eV/atom. Its space group is I-42d.

```
CaIn2Pt
1.0
4.287 0.000 0.000
0.000 4.287 0.000
2.144 2.144 10.674
Pt In Ca
2 4 2
Cartesian
4.287 2.144 5.337
0.000 0.000 0.000
3.305 1.072 2.668
0.983 3.216 2.668
3.216 3.126 8.005
5.359 5.448 8.005
2.144 2.144 0.000
2.144 4.287 5.337
```

---

Entry from Alexandria via LeMat-Bulk: an optimized crystal structure of ReRu (PBE-GGA).

Output
The value obtained for the formation energy is -0.07 eV/atom. Its space group is C2/m.

```
ReRu
1.0
5.177 0.004 -0.006
-0.729 2.646 0.000
-2.222 -0.613 4.206
Ru Re
2 2
Cartesian
1.117 0.308 2.455
3.694 1.019 2.092
1.873 1.940 0.329
4.430 2.645 0.013
```

---

Entry from Alexandria via LeMat-Bulk: an optimized crystal structure of CaCeIrRu (PBE-GGA).

Output
The value obtained for the formation energy is -0.28 eV/atom. Its space group is F-43m.

```
CaCeIrRu
1.0
4.848 0.000 0.000
2.424 4.199 0.000
2.424 1.400 3.958
Ca Ir Ce Ru
1 1 1 1
Cartesian
4.848 2.799 1.979
2.424 1.400 0.990
0.000 0.000 0.000
7.272 4.199 2.969
```

---

Entry from Alexandria via LeMat-Bulk: an optimized crystal structure of Ho2TmPa (PBE-GGA).

Output
Its offset from the most stable computed form is 0.163 eV/atom. The value obtained for the formation energy is 0.27 eV/atom. Its space group is R-3m.

```
Ho2TmPa
1.0
3.311 0.000 0.000
1.655 2.867 0.000
1.655 0.956 12.116
Ho Pa Tm
2 1 1
Cartesian
4.966 2.867 3.197
1.655 0.956 8.919
0.000 0.000 0.000
3.311 1.912 6.058
```

---

Entry from Alexandria via LeMat-Bulk: an optimized crystal structure of Na2SbSe5 (PBE-GGA).

Output
The formation energy from raw total energies is -0.3864 eV per atom. Its space group is Cm.

```
Na2SbSe5
1.0
7.995 0.000 0.000
0.000 7.995 0.069
-3.998 -3.981 2.954
Se Sb Na
5 1 2
Cartesian
1.990 6.006 0.262
3.998 4.003 0.318
6.005 6.006 0.262
6.007 1.989 0.234
1.988 1.989 0.234
0.000 0.000 0.105
0.000 4.010 1.736
3.998 0.008 1.701
```

---

Entry from Alexandria via LeMat-Bulk: an optimized crystal structure of CoHg2Te2 (PBE-GGA).

Output
The formation energy from raw total energies is 0.1467 eV per atom. Its space group is P4/mbm.

```
CoHg2Te2
1.0
-3.133 4.824 3.031
-3.487 1.112 -5.374
-4.921 -4.604 2.241
Te Hg Co
4 4 2
Cartesian
-4.932 4.803 -0.962
-2.596 3.335 1.151
-4.025 2.601 -3.494
-1.689 1.133 -1.380
-5.957 -0.175 -2.186
-5.584 1.506 2.085
-7.421 2.204 -0.512
-4.121 -0.873 0.411
0.000 0.000 0.000
-3.310 2.968 -1.171
```

---

Entry from Alexandria via LeMat-Bulk: an optimized crystal structure of Rb2TaI8 (PBE-GGA).

Output
The formation energy from raw total energies is -0.7309 eV per atom. Its space group is C2/m.

```
Rb2TaI8
1.0
6.572 -0.083 1.390
1.711 9.649 1.319
-0.215 0.470 9.875
I Rb Ta
8 2 1
Cartesian
2.428 5.024 5.936
2.854 8.926 3.726
3.312 8.479 9.842
5.214 1.111 8.857
1.527 2.599 9.624
4.756 1.558 2.742
6.541 7.438 2.960
5.640 5.013 6.648
6.930 7.145 9.225
1.138 2.892 3.359
0.000 0.000 0.000
```

---

Entry from Alexandria via LeMat-Bulk: an optimized crystal structure of BMoIBr2 (PBE-GGA).

Output
The formation energy from raw total energies is 1.0959 eV per atom. Its space group is P4/mmm.

```
BMoIBr2
1.0
-3.342 -0.260 -3.198
-1.090 -5.311 1.571
-3.081 1.548 3.095
B Br Mo I
1 2 1 1
Cartesian
0.000 0.000 0.000
-1.541 0.774 1.547
-1.671 -0.130 -1.599
-3.757 -2.012 0.734
-0.545 -2.656 0.785
```

---

Entry from Alexandria via LeMat-Bulk: an optimized crystal structure of AcMgAs (PBE-GGA).

Output
Its offset from the most stable computed form is 0.278 eV/atom. The value obtained for the formation energy is -0.49 eV/atom. Its space group is I4mm.

```
AcMgAs
1.0
-2.556 0.722 -2.738
-0.760 -3.728 -0.274
-2.360 2.036 5.398
As Mg Ac
1 1 1
Cartesian
-3.256 -1.291 0.042
-2.373 0.315 2.299
-0.048 0.006 0.046
```

---

Entry from Alexandria via LeMat-Bulk: an optimized crystal structure of Na2SbAsH (PBE-GGA).

Output
Its offset from the most stable computed form is 0.019 eV/atom. Its space group is P4/mmm.

```
Na2SbAsH
1.0
4.801 0.000 0.000
0.000 4.801 0.000
0.000 0.000 4.215
As H Na Sb
1 1 2 1
Cartesian
0.000 0.000 2.107
0.000 0.000 0.000
2.401 0.000 0.000
0.000 2.401 0.000
2.401 2.401 2.107
```

---

Entry from Alexandria via LeMat-Bulk: an optimized crystal structure of Tb3Ho4Th5 (PBE-GGA).

Output
The value obtained for the formation energy is 0.33 eV/atom. Its space group is C2/m.

```
Tb3Ho4Th5
1.0
-4.660 2.750 -2.399
-6.009 -1.926 2.162
-1.963 9.190 7.046
Ho Tb Th
4 3 5
Cartesian
-2.128 5.864 3.554
-7.813 9.507 4.170
-4.818 0.507 2.639
-10.504 4.150 3.255
-2.247 3.526 1.105
-3.986 3.632 4.604
-10.385 6.488 5.704
-6.936 6.888 6.764
-5.696 3.126 0.045
-6.316 5.007 3.404
-7.333 0.372 0.066
-5.299 9.642 6.742
```

---

Entry from Alexandria via LeMat-Bulk: an optimized crystal structure of KTl2ZnPt (PBE-GGA).

Output
The value obtained for the formation energy is -0.11 eV/atom. Its space group is P4/mmm.

```
KTl2ZnPt
1.0
5.411 0.000 0.000
0.000 5.411 0.000
0.000 0.000 5.047
Tl Zn K Pt
2 1 1 1
Cartesian
2.706 0.000 0.000
0.000 2.706 0.000
0.000 0.000 2.523
2.706 2.706 2.523
0.000 0.000 0.000
```

---

Entry from Alexandria via LeMat-Bulk: an optimized crystal structure of Pm2GePt5 (PBE-GGA).

Output
The value obtained for the formation energy is -0.88 eV/atom. Its space group is I4mm.

```
Pm2GePt5
1.0
5.956 0.000 0.000
0.000 5.956 0.000
-2.978 -2.978 4.377
Pm Pt Ge
2 5 1
Cartesian
0.000 2.978 2.119
2.978 0.000 2.120
2.978 2.978 2.072
-1.401 1.401 4.251
-1.401 -1.401 4.251
1.401 -1.401 4.251
1.401 1.401 4.251
0.000 0.000 0.996
```

---

Entry from Alexandria via LeMat-Bulk: an optimized crystal structure of Ca2AgP (PBE-GGA).

Output
The value obtained for the formation energy is -0.64 eV/atom. Its space group is Pmm2.

```
Ca2AgP
1.0
4.965 0.000 0.000
0.000 3.754 -0.002
0.000 0.006 4.965
Ag Ca P
1 2 1
Cartesian
2.483 2.351 4.340
2.483 0.471 1.860
0.000 0.476 4.345
0.000 2.349 1.865
```

---

Entry from Alexandria via LeMat-Bulk: an optimized crystal structure of NaLu2Ni (PBE-GGA).

Output
The value obtained for the formation energy is -0.14 eV/atom. Its space group is P4/mmm.

```
NaLu2Ni
1.0
3.295 0.000 0.000
0.000 3.295 0.000
0.000 0.000 9.405
Ni Lu Na
1 2 1
Cartesian
1.648 1.648 0.000
0.000 0.000 7.814
0.000 0.000 1.591
1.648 1.648 4.703
```

---

no.,ρ (g/cm³)
1,3.649
2,5.923
3,3.790
4,6.389
5,9.389
6,7.868
7,16.572
8,9.758
9,10.536
10,4.890
11,7.913
12,3.618
13,5.392
14,6.625
15,4.164
16,9.483
17,7.960
18,14.310
19,3.929
20,7.018